PBE Na2SbRuO6, relaxed; uncorrected formation energy = -1238 meV per atom; SG = No. 123
1.0
5.589 0.000 0.000
0.000 5.589 0.000
0.000 0.000 3.867
Na Sb Ru O
2 1 1 6
Direct
0.000 0.500 0.000 Na
0.500 0.000 0.000 Na
0.000 0.000 0.500 Sb
0.500 0.500 0.500 Ru
0.000 0.000 0.000 O
0.250 0.250 0.500 O
0.250 0.750 0.500 O
0.500 0.500 0.000 O
0.750 0.250 0.500 O
0.750 0.750 0.500 O

=====

PBE Na3Sc2RuO6, relaxed; uncorrected formation energy = -2237 meV per atom; SG = No. 12
1.0
2.712 -4.693 0.000
2.712 4.693 0.000
-1.803 0.000 5.494
Na Sc Ru O
3 2 1 6
Direct
0.000 0.000 0.000 Na
0.337 0.663 0.000 Na
0.663 0.337 0.000 Na
0.167 0.833 0.500 Sc
0.833 0.167 0.500 Sc
0.500 0.500 0.500 Ru
0.098 0.430 0.291 O
0.236 0.236 0.708 O
0.430 0.098 0.291 O
0.570 0.902 0.709 O
0.764 0.764 0.292 O
0.902 0.570 0.709 O

=====

PBE Na2Sc2RuO6, relaxed; uncorrected formation energy = -2279 meV per atom; SG = No. 12
1.0
2.713 -4.668 0.000
2.713 4.668 0.000
-1.731 0.000 5.582
Na Sc Ru O
2 2 1 6
Direct
0.162 0.838 0.000 Na
0.838 0.162 0.000 Na
0.337 0.663 0.500 Sc
0.663 0.337 0.500 Sc
0.000 0.000 0.500 Ru
0.054 0.383 0.693 O
0.258 0.258 0.302 O
0.383 0.054 0.693 O
0.617 0.946 0.307 O
0.742 0.742 0.698 O
0.946 0.617 0.307 O

=====

| no. | ρ (g/cm3) |
| --- | --- |
| 1 | 5.0 |
| 2 | 4.2 |
| 3 | 3.9 |